Below is a crystal of SrMoPb2 relaxed with PBEsol, with properties calculated at the meta-GGA SCAN level.

The structure in POSCAR format:
```
SrMoPb2
1.0
3.525 0.000 0.000
0.000 3.525 0.000
0.000 0.000 7.841
Mo Pb Sr
1 2 1
Direct
0.500 0.500 0.000
0.000 0.000 0.201
0.000 0.000 0.799
0.500 0.500 0.500
```

## Properties
The excess energy over the best structure of this formula in the dataset is 0.0 meV/atom. As for the space group: P4/mmm, No. 123. As for the total moment: 0.00 μB/cell. The value obtained for the energy relative to the elements is 149 meV/atom.

Below is a crystal of TaMoPb2 relaxed with PBEsol, with properties calculated at the meta-GGA SCAN level.

The structure in POSCAR format:
```
TaMoPb2
1.0
-3.387 -0.680 -0.278
0.003 -1.751 4.247
-1.076 4.586 1.892
Mo Pb Ta
1 2 1
Direct
0.000 0.500 0.500
0.000 0.000 0.000
0.500 0.000 0.500
0.500 0.500 0.000
```

## Properties
The excess energy over the best structure of this formula in the dataset is 5.0 meV/atom. As for the space group: Pmmm, No. 47. As for the total moment: 0.00 μB/cell. The value obtained for the energy relative to the elements is 793 meV/atom.

Below is a crystal of TaMoPb2 relaxed with PBEsol, with properties calculated at the meta-GGA SCAN level.

The structure in POSCAR format:
```
TaMoPb2
1.0
-0.108 -2.064 2.304
-1.030 -3.178 -4.372
5.256 1.614 0.216
Mo Pb Ta
1 2 1
Direct
0.500 0.500 0.500
0.000 0.500 0.000
0.000 0.000 0.500
0.500 0.000 0.000
```

## Properties
The excess energy over the best structure of this formula in the dataset is 20.0 meV/atom. As for the space group: C2/m, No. 12. As for the total moment: 0.00 μB/cell. The value obtained for the energy relative to the elements is 808 meV/atom.